No. 1
! Tm4TlPt, relaxed, DFT PBE; values from VASP
! **N(E_F)**: 5.03 states/eV/f.u.
! **DFT formation energy**: -647 meV/atom
! **ΔE to the lowest computed polymorph**: 0.0000 eV/atom
! **Space group**: F-43m
! **Magnetization**: 0.000 μB per formula unit
&SYSTEM
  ibrav = 0, nat = 24, ntyp = 3
/
ATOMIC_SPECIES
Tm 168.93 Tm.upf
Pt 195.08 Pt.upf
Tl 204.38 Tl.upf
CELL_PARAMETERS angstrom
8.316 0.000 4.801
2.772 7.840 4.801
0.000 0.000 9.603
ATOMIC_POSITIONS crystal
Tm 0.398 0.398 0.398
Tm 0.398 0.398 0.806
Tm 0.811 0.189 0.189
Tm 0.938 0.938 0.562
Tm 0.189 0.189 0.811
Tm 0.811 0.189 0.811
Tm 0.562 0.938 0.938
Tm 0.938 0.562 0.562
Tm 0.811 0.811 0.189
Tm 0.398 0.806 0.398
Tm 0.938 0.562 0.938
Tm 0.189 0.811 0.811
Tm 0.189 0.811 0.189
Tm 0.562 0.938 0.562
Tm 0.562 0.562 0.938
Tm 0.806 0.398 0.398
Pt 0.607 0.607 0.180
Pt 0.607 0.607 0.607
Pt 0.607 0.180 0.607
Pt 0.180 0.607 0.607
Tl 0.510 0.163 0.163
Tl 0.163 0.163 0.510
Tl 0.163 0.510 0.163
Tl 0.163 0.163 0.163



No. 2
! Tm6Tl2Pt, relaxed, DFT PBE; values from VASP
! **N(E_F)**: 10.51 states/eV/f.u.
! **DFT formation energy**: -491 meV/atom
! **ΔE to the lowest computed polymorph**: 0.0000 eV/atom
! **Space group**: P-62m
! **Magnetization**: 1.586 μB per formula unit
&SYSTEM
  ibrav = 0, nat = 9, ntyp = 3
/
ATOMIC_SPECIES
Tm 168.93 Tm.upf
Tl 204.38 Tl.upf
Pt 195.08 Pt.upf
CELL_PARAMETERS angstrom
3.815 0.000 0.000
0.000 7.787 -3.586
0.000 -0.787 8.539
ATOMIC_POSITIONS crystal
Tm 0.000 0.000 0.246
Tm 0.500 0.608 0.000
Tm 0.000 0.245 0.000
Tm 0.000 0.755 0.754
Tm 0.500 0.000 0.608
Tm 0.500 0.392 0.392
Tl 0.000 0.333 0.667
Tl 0.000 0.667 0.333
Pt 0.500 0.000 0.000



No. 3
! Tm2TlPt9, relaxed, DFT PBE; values from VASP
! **N(E_F)**: 12.99 states/eV/f.u.
! **DFT formation energy**: -739 meV/atom
! **Space group**: P4/mmm
! **Magnetization**: 0.000 μB per formula unit
&SYSTEM
  ibrav = 0, nat = 12, ntyp = 3
/
ATOMIC_SPECIES
Tm 168.93 Tm.upf
Pt 195.08 Pt.upf
Tl 204.38 Tl.upf
CELL_PARAMETERS angstrom
-1.334 0.959 3.748
-1.418 -3.809 0.470
10.824 -3.446 4.734
ATOMIC_POSITIONS crystal
Tm 0.000 0.000 0.666
Tm 0.000 0.000 0.334
Pt 0.500 0.500 0.000
Pt 0.500 0.500 0.334
Pt 0.500 0.000 0.500
Pt 0.500 0.500 0.666
Pt 0.000 0.500 0.169
Pt 0.500 0.000 0.831
Pt 0.000 0.500 0.831
Pt 0.000 0.500 0.500
Pt 0.500 0.000 0.169
Tl 0.000 0.000 0.000



No. 4
! TmZrTlPt, relaxed, DFT PBE; values from VASP
! **N(E_F)**: 2.95 states/eV/f.u.
! **DFT formation energy**: -495 meV/atom
! **Space group**: F-43m
! **Magnetization**: 0.000 μB per formula unit
&SYSTEM
  ibrav = 0, nat = 4, ntyp = 4
/
ATOMIC_SPECIES
Pt 195.08 Pt.upf
Zr 91.22 Zr.upf
Tm 168.93 Tm.upf
Tl 204.38 Tl.upf
CELL_PARAMETERS angstrom
-2.010 0.688 4.515
0.961 -3.233 3.678
2.886 1.368 3.834
ATOMIC_POSITIONS crystal
Pt 0.750 0.750 0.750
Zr 0.000 0.000 0.000
Tm 0.500 0.500 0.500
Tl 0.250 0.250 0.250



No. 5
! UTlPt2, relaxed, DFT PBE; values from VASP
! **N(E_F)**: 8.04 states/eV/f.u.
! **DFT formation energy**: -346 meV/atom
! **Space group**: R-3m
! **Magnetization**: 1.795 μB per formula unit
&SYSTEM
  ibrav = 0, nat = 4, ntyp = 3
/
ATOMIC_SPECIES
Pt 195.08 Pt.upf
Tl 204.38 Tl.upf
U 238.03 U.upf
CELL_PARAMETERS angstrom
4.039 0.000 0.000
2.020 3.498 0.000
2.020 1.166 6.580
ATOMIC_POSITIONS crystal
Pt 0.746 0.746 0.763
Pt 0.254 0.254 0.237
Tl 0.500 0.500 0.500
U 0.000 0.000 0.000



No. 6
! UTlPt6, relaxed, DFT PBE; values from VASP
! **N(E_F)**: 7.46 states/eV/f.u.
! **DFT formation energy**: -459 meV/atom
! **Space group**: P4/mmm
! **Magnetization**: 0.967 μB per formula unit
&SYSTEM
  ibrav = 0, nat = 8, ntyp = 3
/
ATOMIC_SPECIES
Pt 195.08 Pt.upf
U 238.03 U.upf
Tl 204.38 Tl.upf
CELL_PARAMETERS angstrom
-2.748 1.911 -2.424
2.422 -0.676 -3.280
-3.815 -7.181 -1.337
ATOMIC_POSITIONS crystal
Pt 0.000 0.500 0.259
Pt 0.000 0.500 0.741
Pt 0.500 0.000 0.741
Pt 0.500 0.000 0.259
Pt 0.500 0.500 0.500
Pt 0.500 0.500 0.000
U 0.000 0.000 0.500
Tl 0.000 0.000 0.000



No. 7
! UTlPt4, relaxed, DFT PBE; values from VASP
! **N(E_F)**: 9.45 states/eV/f.u.
! **DFT formation energy**: -491 meV/atom
! **Space group**: F-43m
! **Magnetization**: 1.947 μB per formula unit
&SYSTEM
  ibrav = 0, nat = 6, ntyp = 3
/
ATOMIC_SPECIES
Tl 204.38 Tl.upf
Pt 195.08 Pt.upf
U 238.03 U.upf
CELL_PARAMETERS angstrom
-3.961 -3.708 0.057
-0.444 -3.557 -4.072
1.191 -5.229 0.824
ATOMIC_POSITIONS crystal
Tl 0.250 0.250 0.250
Pt 0.625 0.625 0.625
Pt 0.126 0.625 0.625
Pt 0.625 0.625 0.126
Pt 0.625 0.126 0.625
U 0.000 0.000 0.000



No. 8
! UTlPt2, relaxed, DFT PBE; values from VASP
! **N(E_F)**: 4.83 states/eV/f.u.
! **DFT formation energy**: -374 meV/atom
! **Space group**: P4/mmm
! **Magnetization**: 1.624 μB per formula unit
&SYSTEM
  ibrav = 0, nat = 4, ntyp = 3
/
ATOMIC_SPECIES
Tl 204.38 Tl.upf
Pt 195.08 Pt.upf
U 238.03 U.upf
CELL_PARAMETERS angstrom
3.374 0.000 0.000
0.000 3.374 0.000
0.000 0.000 7.410
ATOMIC_POSITIONS crystal
Tl 0.500 0.500 0.500
Pt 0.000 0.000 0.774
Pt 0.000 0.000 0.226
U 0.500 0.500 0.000



What did the fifth record say?
! UTlPt2, relaxed, DFT PBE; values from VASP
! **N(E_F)**: 8.04 states/eV/f.u.
! **DFT formation energy**: -346 meV/atom
! **Space group**: R-3m
! **Magnetization**: 1.795 μB per formula unit
&SYSTEM
  ibrav = 0, nat = 4, ntyp = 3
/
ATOMIC_SPECIES
Pt 195.08 Pt.upf
Tl 204.38 Tl.upf
U 238.03 U.upf
CELL_PARAMETERS angstrom
4.039 0.000 0.000
2.020 3.498 0.000
2.020 1.166 6.580
ATOMIC_POSITIONS crystal
Pt 0.746 0.746 0.763
Pt 0.254 0.254 0.237
Tl 0.500 0.500 0.500
U 0.000 0.000 0.000